--- w ---
An optimized crystal structure of PuPaPdAu. Source: Alexandria, functional PBE.

Cell: 4.8498 4.8498 4.8498 Å, 60.00 60.00 60.00°
Fractional coordinates of all 4 atoms:
Pu 0.0000 0.0000 0.0000
Pa 0.7500 0.7500 0.7500
Pd 0.2500 0.2500 0.2500
Au 0.5000 0.5000 0.5000

Values from the calculation:
Crystal system = cubic
Space group = F-43m (216)

***

--- x ---
An optimized crystal structure of PuPaPdAu. Source: Alexandria, functional PBE.

Cell: 5.0470 5.0470 5.0470 Å, 60.00 60.00 60.00°
Fractional coordinates of all 4 atoms:
Pu 0.0000 0.0000 0.0000
Pa 0.5000 0.5000 0.5000
Pd 0.7500 0.7500 0.7500
Au 0.2500 0.2500 0.2500

Values from the calculation:
Crystal system = cubic
Space group = F-43m (216)

***

Least stable structure: x

***

--- w ---
An optimized crystal structure of PmPaAu2. Source: Alexandria, functional PBE.

Cell: 8.3662 8.3662 8.3662 Å, 27.14 27.14 27.14°
Fractional coordinates of all 4 atoms:
Pm 0.0000 0.0000 0.0000
Pa 0.5000 0.5000 0.5000
Au 0.2460 0.2460 0.2460
Au 0.7540 0.7540 0.7540

Values from the calculation:
Crystal system = trigonal
Space group = R-3m (166)

***

--- x ---
An optimized crystal structure of PmPaAu2. Source: Alexandria, functional PBE.

Cell: 5.1582 5.1582 5.1582 Å, 60.00 60.00 60.00°
Fractional coordinates of all 4 atoms:
Pm 0.0000 0.0000 0.0000
Pa 0.5000 0.5000 0.5000
Au 0.2500 0.2500 0.2500
Au 0.7500 0.7500 0.7500

Values from the calculation:
Crystal system = cubic
Space group = Fm-3m (225)

***

Least stable structure: w

***

--- w ---
An optimized crystal structure of Pr2PaAu. Source: Alexandria, functional PBE.

Cell: 3.6099 3.6099 8.5677 Å, 90.00 90.00 90.00°
Fractional coordinates of all 4 atoms:
Pr 0.0000 0.0000 0.2278
Pr 0.0000 0.0000 0.7722
Pa 0.5000 0.5000 0.5000
Au 0.5000 0.5000 0.0000

Values from the calculation:
Crystal system = tetragonal
Space group = P4/mmm (123)

***

--- x ---
An optimized crystal structure of Pr2PaAu. Source: Alexandria, functional PBE.

Cell: 11.7593 11.7593 11.7593 Å, 16.37 16.37 16.37°
Fractional coordinates of all 4 atoms:
Pr 0.0948 0.0948 0.0948
Pr 0.9052 0.9052 0.9052
Pa 0.0000 0.0000 0.0000
Au 0.5000 0.5000 0.5000

Values from the calculation:
Crystal system = trigonal
Space group = R-3m (166)

***

Least stable structure: x

***

--- w ---
An optimized crystal structure of Pa2RhAu. Source: Alexandria, functional PBE.

Cell: 3.6176 3.6176 6.6729 Å, 90.00 90.00 90.00°
Fractional coordinates of all 4 atoms:
Pa 0.0000 0.0000 0.2196
Pa 0.0000 0.0000 0.7804
Rh 0.5000 0.5000 0.0000
Au 0.5000 0.5000 0.5000

Values from the calculation:
Crystal system = tetragonal
Space group = P4/mmm (123)

***

--- x ---
An optimized crystal structure of Pa2RhAu. Source: Alexandria, functional PBE.

Cell: 4.9770 4.9770 4.9770 Å, 60.00 60.00 60.00°
Fractional coordinates of all 4 atoms:
Pa 0.2500 0.2500 0.2500
Pa 0.7500 0.7500 0.7500
Rh 0.0000 0.0000 0.0000
Au 0.5000 0.5000 0.5000

Values from the calculation:
Crystal system = cubic
Space group = Fm-3m (225)

***

Least stable structure: x

***

--- w ---
An optimized crystal structure of Pa2RhAu. Source: Alexandria, functional PBE.

Cell: 4.4326 4.4326 4.2606 Å, 90.00 90.00 90.00°
Fractional coordinates of all 4 atoms:
Pa 0.0000 0.5000 0.0000
Pa 0.5000 0.0000 0.0000
Rh 0.0000 0.0000 0.5000
Au 0.5000 0.5000 0.5000

Values from the calculation:
Crystal system = tetragonal
Space group = P4/mmm (123)

***

--- x ---
An optimized crystal structure of Pa2RhAu. Source: Alexandria, functional PBE.

Cell: 10.7958 10.7958 10.7958 Å, 16.45 16.45 16.45°
Fractional coordinates of all 4 atoms:
Pa 0.0937 0.0937 0.0937
Pa 0.9063 0.9063 0.9063
Rh 0.5000 0.5000 0.5000
Au 0.0000 0.0000 0.0000

Values from the calculation:
Crystal system = trigonal
Space group = R-3m (166)

***

Least stable structure: x

***

--- w ---
An optimized crystal structure of PaRhAu2. Source: Alexandria, functional PBE.

Cell: 10.8147 10.8147 10.8147 Å, 15.49 15.49 15.49°
Fractional coordinates of all 4 atoms:
Pa 0.0000 0.0000 0.0000
Rh 0.5000 0.5000 0.5000
Au 0.0950 0.0950 0.0950
Au 0.9050 0.9050 0.9050

Values from the calculation:
Crystal system = trigonal
Space group = R-3m (166)

***

--- x ---
An optimized crystal structure of PaRhAu2. Source: Alexandria, functional PBE.

Cell: 10.0391 10.0391 3.9821 Å, 90.00 90.00 156.94°
Fractional coordinates of all 8 atoms:
Pa 0.1852 0.8148 0.7500
Pa 0.8148 0.1852 0.2500
Rh 0.3306 0.6694 0.7500
Rh 0.6694 0.3306 0.2500
Au 0.0600 0.9400 0.2500
Au 0.4409 0.5591 0.2500
Au 0.5591 0.4409 0.7500
Au 0.9400 0.0600 0.7500

Values from the calculation:
Crystal system = orthorhombic
Space group = Cmcm (63)

***

Least stable structure: w

***

--- w ---
An optimized crystal structure of PaRhAu. Source: Alexandria, functional PBE.

Cell: 3.6411 3.8703 8.9045 Å, 90.00 101.70 90.00°
Fractional coordinates of all 6 atoms:
Pa 0.1060 0.2500 0.2081
Pa 0.8940 0.7500 0.7919
Rh 0.4395 0.2500 0.8845
Rh 0.5605 0.7500 0.1155
Au 0.2840 0.2500 0.5683
Au 0.7160 0.7500 0.4317

Values from the calculation:
Crystal system = monoclinic
Space group = P2_1/m (11)

***

--- x ---
An optimized crystal structure of PaRhAu. Source: Alexandria, functional PBE.

Cell: 5.3065 5.3065 5.3065 Å, 140.01 140.01 57.84°
Fractional coordinates of all 3 atoms:
Pa 0.0000 0.0000 0.0000
Rh 0.3606 0.3606 0.0000
Au 0.6812 0.6812 0.0000

Values from the calculation:
Crystal system = tetragonal
Space group = I4mm (107)

***

Least stable structure: x

***

--- w ---
An optimized crystal structure of PaRuAu. Source: Alexandria, functional PBE.

Cell: 4.9373 4.9373 4.9373 Å, 132.67 132.67 69.17°
Fractional coordinates of all 3 atoms:
Pa 0.0000 0.0000 0.0000
Ru 0.2892 0.2892 0.0000
Au 0.6429 0.6429 0.0000

Values from the calculation:
Crystal system = tetragonal
Space group = I4mm (107)

***

--- x ---
An optimized crystal structure of PaRuAu. Source: Alexandria, functional PBE.

Cell: 4.9551 4.9551 5.4172 Å, 90.00 90.00 117.08°
Fractional coordinates of all 6 atoms:
Pa 0.1645 0.8355 0.7500
Pa 0.8355 0.1645 0.2500
Ru 0.1823 0.8177 0.2500
Ru 0.8177 0.1823 0.7500
Au 0.5000 0.5000 0.0000
Au 0.5000 0.5000 0.5000

Values from the calculation:
Crystal system = orthorhombic
Space group = Cmcm (63)

***

--- y ---
An optimized crystal structure of PaRuAu. Source: Alexandria, functional PBE.

Cell: 4.0732 5.1203 6.5588 Å, 76.66 75.89 69.07°
Fractional coordinates of all 6 atoms:
Pa 0.0735 0.1703 0.1799
Pa 0.9265 0.8297 0.8201
Ru 0.2891 0.6643 0.1489
Ru 0.7109 0.3357 0.8511
Au 0.3399 0.2774 0.5521
Au 0.6601 0.7226 0.4479

Values from the calculation:
Crystal system = triclinic
Space group = P-1 (2)

***

--- z ---
An optimized crystal structure of PaRuAu. Source: Alexandria, functional PBE.

Cell: 4.6118 4.6118 3.2264 Å, 90.00 90.00 120.00°
Fractional coordinates of all 3 atoms:
Pa 0.0000 0.0000 0.0000
Ru 0.6667 0.3333 0.7883
Au 0.3333 0.6667 0.4481

Values from the calculation:
Crystal system = trigonal
Space group = P3m1 (156)

***

Least stable structure: z

***

--- w ---
An optimized crystal structure of Pa2SbAu. Source: Alexandria, functional PBE.

Cell: 3.4674 3.4674 8.0399 Å, 90.00 90.00 90.00°
Fractional coordinates of all 4 atoms:
Pa 0.0000 0.0000 0.2488
Pa 0.0000 0.0000 0.7512
Sb 0.5000 0.5000 0.5000
Au 0.5000 0.5000 0.0000

Values from the calculation:
Crystal system = tetragonal
Space group = P4/mmm (123)

***

--- x ---
An optimized crystal structure of Pa2SbAu. Source: Alexandria, functional PBE.

Cell: 4.6824 4.6824 4.4022 Å, 90.00 90.00 90.00°
Fractional coordinates of all 4 atoms:
Pa 0.0000 0.5000 0.0000
Pa 0.5000 0.0000 0.0000
Sb 0.0000 0.0000 0.5000
Au 0.5000 0.5000 0.5000

Values from the calculation:
Crystal system = tetragonal
Space group = P4/mmm (123)

***

Least stable structure: x

***

--- w ---
An optimized crystal structure of Pa2SbAu. Source: Alexandria, functional PBE.

Cell: 7.4997 7.4997 7.4997 Å, 33.04 33.04 33.04°
Fractional coordinates of all 4 atoms:
Pa 0.2413 0.2413 0.2413
Pa 0.7587 0.7587 0.7587
Sb 0.0000 0.0000 0.0000
Au 0.5000 0.5000 0.5000

Values from the calculation:
Crystal system = trigonal
Space group = R-3m (166)

***

--- x ---
An optimized crystal structure of Pa2SbAu. Source: Alexandria, functional PBE.

Cell: 5.2311 5.2311 5.2311 Å, 60.00 60.00 60.00°
Fractional coordinates of all 4 atoms:
Pa 0.2500 0.2500 0.2500
Pa 0.7500 0.7500 0.7500
Sb 0.0000 0.0000 0.0000
Au 0.5000 0.5000 0.5000

Values from the calculation:
Crystal system = cubic
Space group = Fm-3m (225)

***

Least stable structure: x

***

--- w ---
An optimized crystal structure of PaSnSbAu. Source: Alexandria, functional PBE.

Cell: 5.1766 5.1766 5.1766 Å, 60.00 60.00 60.00°
Fractional coordinates of all 4 atoms:
Pa 0.0000 0.0000 0.0000
Sn 0.5000 0.5000 0.5000
Sb 0.7500 0.7500 0.7500
Au 0.2500 0.2500 0.2500

Values from the calculation:
Crystal system = cubic
Space group = F-43m (216)

***

--- x ---
An optimized crystal structure of PaSnSbAu. Source: Alexandria, functional PBE.

Cell: 4.2476 4.5856 4.8556 Å, 90.00 90.00 90.00°
Fractional coordinates of all 4 atoms:
Pa 0.0000 0.0000 0.0000
Sn 0.5000 0.0000 0.5000
Sb 0.5000 0.5000 0.0000
Au 0.0000 0.5000 0.5000

Values from the calculation:
Crystal system = orthorhombic
Space group = Pmmm (47)

***

Least stable structure: w

***

--- w ---
An optimized crystal structure of PaAuSe. Source: Alexandria, functional PBE.

Cell: 4.0672 4.0705 8.1615 Å, 90.00 90.00 90.00°
Fractional coordinates of all 6 atoms:
Pa 0.2500 0.2500 0.2094
Pa 0.7500 0.7500 0.7906
Au 0.2500 0.7500 0.5009
Au 0.7500 0.2500 0.4991
Se 0.2500 0.2500 0.8516
Se 0.7500 0.7500 0.1484

Values from the calculation:
Crystal system = orthorhombic
Space group = Pmmn (59)

***

--- x ---
An optimized crystal structure of PaAuSe. Source: Alexandria, functional PBE.

Cell: 5.5055 5.5055 5.5055 Å, 140.64 140.64 56.88°
Fractional coordinates of all 3 atoms:
Pa 0.0000 0.0000 0.0000
Au 0.6690 0.6690 0.0000
Se 0.3439 0.3439 0.0000

Values from the calculation:
Crystal system = tetragonal
Space group = I4mm (107)

***

Least stable structure: x